## TaCo2PbO6 (PBE with a Hubbard U)

Data for crystalline TaCo2PbO6 at its relaxed geometry.

Cell and atoms, written as POSCAR:
```
TaCo2PbO6
1.0
5.2811 0.0000 0.0000
2.6314 4.5865 0.0000
2.6036 1.5359 4.9517
Ta Co Pb O
1 2 1 6
Direct
0.0000 0.0000 0.0000 Ta
0.3093 0.3105 0.0712 Co
0.7898 0.7972 0.6178 Co
0.5292 0.5260 0.4174 Pb
0.0049 0.1299 0.2809 O
0.0661 0.7025 0.8382 O
0.1305 0.5852 0.2815 O
0.3903 0.0658 0.8381 O
0.5874 0.0005 0.2812 O
0.7039 0.3909 0.8397 O
```

Computed properties:
Uncorrected energy = -7.1244 eV per atom
Spin magnetization = 3.0 μB/cell